Record 1
DFT (GGA-PBE) results for Zn3As2 after structural relaxation.

a = 6.4528 Å, b = 6.4528 Å, c = 15.9568 Å
α = 90.00°, β = 90.00°, γ = 120.00°
Space group R-3c (No. 167, hexagonal axes)
Unique sites:
Zn 0.0000 0.2506 0.2500 [18 per cell]
As 0.0000 0.0000 0.1110 [12 per cell]


Record 2
DFT (GGA-PBE) results for Zn3As after structural relaxation.

a = 8.453 Å, b = 3.017 Å, c = 5.398 Å
α = 90.00°, β = 100.25°, γ = 90.00°
Space group C2/m (No. 12)
Unique sites:
Zn 0.000 0.000 0.000 [2 per cell]
Zn 0.246 0.500 0.217 [4 per cell]
As 0.000 0.500 0.500 [2 per cell]


Record 3
DFT (GGA-PBE) results for Zn6As after structural relaxation.

a = 6.945 Å, b = 6.945 Å, c = 6.945 Å
α = 90.00°, β = 90.00°, γ = 90.00°
Space group Im-3m (No. 229)
Unique sites:
Zn 0.000 0.250 0.500 [12 per cell]
As 0.000 0.000 0.000 [2 per cell]


Record 4
DFT (GGA-PBE) results for Zn6As7 after structural relaxation.

a = 5.7452 Å, b = 5.7452 Å, c = 26.4643 Å
α = 90.00°, β = 90.00°, γ = 120.00°
Space group R-3m (No. 166, hexagonal axes)
Unique sites:
Zn 0.0000 0.0000 0.0479 [6 per cell]
Zn 0.0000 0.0000 0.1524 [6 per cell]
Zn 0.0000 0.0000 0.3357 [6 per cell]
As 0.0000 0.0000 0.5000 [3 per cell]
As 0.0076 0.5038 0.9179 [18 per cell]


Record 5
DFT (GGA-PBE) results for Zn3As after structural relaxation.

a = 3.0703 Å, b = 3.0703 Å, c = 24.9091 Å
α = 90.00°, β = 90.00°, γ = 120.00°
Space group R-3m (No. 166, hexagonal axes)
Unique sites:
Zn 0.0000 0.0000 0.0000 [3 per cell]
Zn 0.0000 0.0000 0.2545 [6 per cell]
As 0.0000 0.0000 0.5000 [3 per cell]


Record 6
DFT (GGA-PBE) results for ZnAs after structural relaxation.

a = 9.1469 Å, b = 9.1469 Å, c = 4.4191 Å
α = 90.00°, β = 90.00°, γ = 120.00°
Space group P6_3/m (No. 176)
Unique sites:
Zn 0.1367 0.4418 0.2500 [6 per cell]
As 0.0138 0.6387 0.2500 [6 per cell]


Asked for calculated total energy across the records above, the calculation gives -2.677 -2.008 -1.109 -2.811 -2.002 -2.842 eV per atom in order.
Asked for E_form across the records above, the calculation gives -0.26 0.44 4.53 3.65 0.46 0.24 eV per formula unit in order.